This record from the Alexandria database describes crystalline Tm4TeRu at its relaxed geometry. The functional is PBE.

Calculated volume (Å³/cell): 612
Total moment (μB/f.u.): 0.0
Energy above the most stable polymorph in this dataset (eV per atom): 0.000
Energy relative to the elements, uncorrected (eV per atom): -0.67

Geometry as CIF:
```
data_Tm4TeRu
_chemical_formula_sum 'Tm16 Te4 Ru4'
_symmetry_space_group_name_H-M 'P 1'
_symmetry_Int_Tables_number 1
_cell_length_a 7.980
_cell_length_b 3.993
_cell_length_c 19.201
_cell_angle_alpha 90.00
_cell_angle_beta 90.00
_cell_angle_gamma 90.00
loop_
_symmetry_equiv_pos_as_xyz
'x,y,z'
loop_
_atom_site_label
_atom_site_type_symbol
_atom_site_fract_x
_atom_site_fract_y
_atom_site_fract_z
Tm1 Tm 0.002 0.250 0.067
Tm2 Tm 0.052 0.750 0.212
Tm3 Tm 0.135 0.750 0.643
Tm4 Tm 0.141 0.750 0.455
Tm5 Tm 0.359 0.250 0.955
Tm6 Tm 0.365 0.250 0.143
Tm7 Tm 0.448 0.250 0.712
Tm8 Tm 0.498 0.750 0.567
Tm9 Tm 0.502 0.250 0.433
Tm10 Tm 0.552 0.750 0.288
Tm11 Tm 0.635 0.750 0.857
Tm12 Tm 0.641 0.750 0.045
Tm13 Tm 0.859 0.250 0.545
Tm14 Tm 0.865 0.250 0.357
Tm15 Tm 0.948 0.250 0.788
Tm16 Tm 0.998 0.750 0.933
Te1 Te 0.247 0.250 0.308
Te2 Te 0.253 0.750 0.808
Te3 Te 0.747 0.250 0.192
Te4 Te 0.753 0.750 0.692
Ru1 Ru 0.246 0.250 0.552
Ru2 Ru 0.254 0.750 0.052
Ru3 Ru 0.746 0.250 0.948
Ru4 Ru 0.754 0.750 0.448
```



This record from the Alexandria database describes crystalline Tm5Te4Ru at its relaxed geometry. The functional is PBE.

Calculated volume (Å³/cell): 282
Total moment (μB/f.u.): 0.0
Energy relative to the elements, uncorrected (eV per atom): -1.05

Geometry as CIF:
```
data_Tm5Te4Ru
_chemical_formula_sum 'Tm5 Te4 Ru1'
_symmetry_space_group_name_H-M 'P 1'
_symmetry_Int_Tables_number 1
_cell_length_a 7.463
_cell_length_b 7.463
_cell_length_c 7.463
_cell_angle_alpha 99.44
_cell_angle_beta 99.44
_cell_angle_gamma 132.21
loop_
_symmetry_equiv_pos_as_xyz
'x,y,z'
loop_
_atom_site_label
_atom_site_type_symbol
_atom_site_fract_x
_atom_site_fract_y
_atom_site_fract_z
Tm1 Tm 0.000 0.000 0.000
Tm2 Tm 0.246 0.590 0.837
Tm3 Tm 0.410 0.246 0.656
Tm4 Tm 0.590 0.754 0.344
Tm5 Tm 0.754 0.410 0.163
Te1 Te 0.092 0.311 0.403
Te2 Te 0.311 0.908 0.219
Te3 Te 0.689 0.092 0.781
Te4 Te 0.908 0.689 0.597
Ru1 Ru 0.500 0.500 0.000
```